VASP calculation (PBE) on a geometry-optimized K2Ce2CoS6 structure.

Unit cell a=6.663 b=6.663 c=7.872 alpha=98.39 beta=98.39 gamma=118.96
Each line ends with the local moment (μB).
Positions (direct):
K (0.831, 0.169, 0.000)  0.00
K (0.169, 0.831, 0.000)  0.00
Ce (0.331, 0.669, 0.500)  0.24
Ce (0.669, 0.331, 0.500)  0.24
Co (0.000, 0.000, 0.500)  0.73
S (0.777, 0.777, 0.678)  -0.02
S (0.070, 0.375, 0.692)  0.00
S (0.223, 0.223, 0.322)  -0.02
S (0.375, 0.070, 0.692)  0.00
S (0.930, 0.625, 0.308)  0.00
S (0.625, 0.930, 0.308)  0.00

Properties
The space group is No. 12. Its uncorrected formation energy is -125.0 kJ per mole of atoms.

=====

VASP calculation (PBE) on a geometry-optimized K3Ce3CoS8 structure.

Unit cell a=8.041 b=8.039 c=8.774 alpha=117.27 beta=90.00 gamma=119.99
Each line ends with the local moment (μB).
Positions (direct):
K (0.000, 0.000, 0.000)  0.00
K (0.000, 0.500, 0.000)  0.00
K (0.500, 0.500, 0.000)  0.00
Ce (0.500, 0.000, 0.500)  -0.36
Ce (0.500, 0.500, 0.500)  -0.36
Ce (0.000, 0.500, 0.500)  -0.36
Co (0.000, 0.000, 0.500)  -2.27
S (0.264, 0.528, 0.292)  0.01
S (0.736, 0.472, 0.708)  0.01
S (0.780, 0.560, 0.314)  -0.03
S (0.220, 0.440, 0.686)  -0.03
S (0.780, 0.034, 0.314)  -0.03
S (0.220, 0.966, 0.686)  -0.03
S (0.254, 0.034, 0.314)  -0.03
S (0.746, 0.966, 0.686)  -0.03

Properties
The space group is No. 166. Its uncorrected formation energy is -137.9 kJ per mole of atoms.

=====

VASP calculation (PBE) on a geometry-optimized K2CeCoS4 structure.

Unit cell a=6.511 b=6.511 c=6.511 alpha=103.52 beta=112.53 gamma=112.53
Each line ends with the local moment (μB).
Positions (direct):
K (0.500, 0.750, 0.250)  0.00
K (0.000, 0.000, 0.000)  0.00
Ce (0.500, 0.250, 0.750)  -0.54
Co (0.000, 0.500, 0.500)  1.20
S (0.588, 0.336, 0.399)  0.04
S (0.064, 0.252, 0.664)  0.04
S (0.936, 0.601, 0.188)  0.04
S (0.412, 0.812, 0.748)  0.04

Properties
The space group is No. 82. Its uncorrected formation energy is -99.4 kJ per mole of atoms.

=====

VASP calculation (PBE) on a geometry-optimized K3Ce2CoSe6 structure.

Unit cell a=7.233 b=7.233 c=8.021 alpha=98.67 beta=98.67 gamma=120.03
Each line ends with the local moment (μB).
Positions (direct):
K (0.168, 0.832, 0.500)  0.00
K (0.832, 0.168, 0.500)  0.00
K (0.500, 0.500, 0.500)  0.00
Ce (0.334, 0.666, 0.000)  0.37
Ce (0.666, 0.334, 0.000)  0.37
Co (0.000, 0.000, 0.000)  2.18
Se (0.934, 0.617, 0.801)  0.02
Se (0.750, 0.750, 0.199)  0.02
Se (0.066, 0.383, 0.199)  0.02
Se (0.617, 0.934, 0.801)  0.02
Se (0.250, 0.250, 0.801)  0.02
Se (0.383, 0.066, 0.199)  0.02

Properties
The space group is No. 12. Its uncorrected formation energy is -121.2 kJ per mole of atoms.

=====

VASP calculation (PBE) on a geometry-optimized LaCeCo10 structure.

Unit cell a=4.003 b=4.931 c=8.617 alpha=90.00 beta=90.00 gamma=90.00
Each line ends with the local moment (μB).
Positions (direct):
La (0.000, 0.000, 0.500)  -0.23
Ce (0.000, 0.500, 0.000)  -0.77
Co (0.000, 0.500, 0.308)  1.36
Co (0.000, 0.000, 0.841)  1.39
Co (0.000, 0.000, 0.159)  1.39
Co (0.000, 0.500, 0.692)  1.36
Co (0.500, 0.000, 0.000)  1.47
Co (0.500, 0.500, 0.500)  1.47
Co (0.500, 0.752, 0.248)  1.46
Co (0.500, 0.248, 0.752)  1.46
Co (0.500, 0.248, 0.248)  1.46
Co (0.500, 0.752, 0.752)  1.46

Properties
The space group is No. 47. The calculation puts the formation energy at -0.069 eV per atom.

=====

VASP calculation (PBE) on a geometry-optimized La3CeCo3 structure.

Unit cell a=3.848 b=6.834 c=13.629 alpha=87.87 beta=80.88 gamma=71.49
Positions (direct):
La (0.507, 0.382, 0.626)
La (0.493, 0.618, 0.374)
La (0.258, 0.275, 0.191)
La (0.742, 0.725, 0.809)
La (0.419, 0.247, 0.916)
La (0.581, 0.753, 0.084)
Ce (0.718, 0.068, 0.388)
Ce (0.282, 0.932, 0.612)
Co (0.843, 0.706, 0.543)
Co (0.157, 0.294, 0.457)
Co (0.089, 0.901, 0.926)
Co (0.911, 0.099, 0.074)
Co (0.923, 0.910, 0.244)
Co (0.077, 0.090, 0.756)

Properties
The space group is No. 2. The calculation puts the formation energy at -0.136 eV per atom.

=====

VASP calculation (PBE) on a geometry-optimized LaCe3Co structure.

Unit cell a=6.100 b=5.958 c=7.635 alpha=90.00 beta=90.00 gamma=109.27
Positions (direct):
La (0.644, 0.691, 0.750)
La (0.356, 0.309, 0.250)
Ce (0.789, 0.225, 0.975)
Ce (0.211, 0.775, 0.025)
Ce (0.789, 0.225, 0.525)
Ce (0.211, 0.775, 0.475)
Ce (0.233, 0.103, 0.750)
Ce (0.767, 0.897, 0.250)
Co (0.090, 0.539, 0.750)
Co (0.910, 0.461, 0.250)

Properties
The space group is No. 11. Its energy relative to the lowest polymorph listed for this composition is 0.0 meV per atom. The calculation puts the formation energy at -0.033 eV per atom.

=====

VASP calculation (PBE) on a geometry-optimized LaCeCo structure.

Unit cell a=3.496 b=3.496 c=6.089 alpha=106.69 beta=106.69 gamma=90.00
Positions (direct):
Co (0.693, 0.693, 0.387)
Ce (0.300, 0.300, 0.600)
La (0.007, 0.007, 0.013)

Properties
The space group is No. 107. Its energy relative to the lowest polymorph listed for this composition is 121.0 meV per atom. The calculation puts the formation energy at -0.033 eV per atom.

=====

VASP calculation (PBE) on a geometry-optimized LaCe2Co9 structure.

Unit cell a=4.953 b=4.953 c=8.749 alpha=73.56 beta=73.56 gamma=60.00
Each line ends with the local moment (μB).
Positions (direct):
La (0.000, 0.000, 0.000)  -0.17
Ce (0.861, 0.861, 0.417)  -0.69
Ce (0.139, 0.139, 0.583)  -0.69
Co (0.667, 0.667, 0.998)  1.34
Co (0.333, 0.333, 0.002)  1.34
Co (0.500, 0.500, 0.500)  0.80
Co (0.419, 0.419, 0.244)  1.00
Co (0.917, 0.419, 0.244)  1.00
Co (0.419, 0.917, 0.244)  1.00
Co (0.581, 0.581, 0.756)  1.00
Co (0.581, 0.083, 0.756)  1.00
Co (0.083, 0.581, 0.756)  1.00

Properties
The space group is No. 166. The calculation puts the formation energy at -0.138 eV per atom.

=====

VASP calculation (PBE) on a geometry-optimized La5CeCo4 structure.

Unit cell a=4.159 b=7.358 c=9.454 alpha=114.06 beta=102.72 gamma=89.82
Positions (direct):
La (0.156, 0.045, 0.311)
La (0.177, 0.557, 0.353)
La (0.823, 0.443, 0.647)
La (0.500, 0.500, 0.000)
La (0.844, 0.955, 0.689)
Ce (0.500, 0.000, 0.000)
Co (0.639, 0.292, 0.279)
Co (0.978, 0.779, 0.960)
Co (0.361, 0.708, 0.721)
Co (0.022, 0.221, 0.040)

Properties
The space group is No. 2. The calculation puts the formation energy at -0.123 eV per atom.

=====

VASP calculation (PBE) on a geometry-optimized La12CeCo7 structure.

Unit cell a=8.995 b=8.995 c=8.995 alpha=109.45 beta=109.45 gamma=109.45
Positions (direct):
La (0.906, 0.340, 0.762)
La (0.660, 0.238, 0.094)
La (0.420, 0.130, 0.342)
La (0.870, 0.658, 0.580)
La (0.238, 0.094, 0.660)
La (0.658, 0.580, 0.870)
La (0.342, 0.420, 0.130)
La (0.762, 0.906, 0.340)
La (0.130, 0.342, 0.420)
La (0.580, 0.870, 0.658)
La (0.340, 0.762, 0.906)
La (0.094, 0.660, 0.238)
Ce (0.000, 0.000, 0.000)
Co (0.043, 0.727, 0.953)
Co (0.273, 0.047, 0.957)
Co (0.047, 0.957, 0.273)
Co (0.500, 0.500, 0.500)
Co (0.953, 0.043, 0.727)
Co (0.727, 0.953, 0.043)
Co (0.957, 0.273, 0.047)

Properties
The space group is No. 148. The calculation puts the formation energy at -0.109 eV per atom.

=====

VASP calculation (PBE) on a geometry-optimized LaCe3Co2 structure.

Unit cell a=3.981 b=8.279 c=9.600 alpha=116.03 beta=90.00 gamma=103.91
Positions (direct):
La (0.125, 0.251, 0.137)
La (0.875, 0.749, 0.863)
Ce (0.664, 0.328, 0.881)
Ce (0.985, 0.970, 0.633)
Ce (0.344, 0.688, 0.496)
Ce (0.656, 0.312, 0.504)
Ce (0.015, 0.030, 0.367)
Ce (0.336, 0.672, 0.119)
Co (0.515, 0.030, 0.865)
Co (0.485, 0.970, 0.135)
Co (0.182, 0.365, 0.705)
Co (0.818, 0.635, 0.295)

Properties
The space group is No. 12. The calculation puts the formation energy at -0.112 eV per atom.